A geometry-optimized GaReRu2 structure. Source: Alexandria via LeMat-Bulk, functional PBE.

The space group is R3m (No. 160, hexagonal axes) and the conventional cell measures 4.2068, 4.2068 and 12.7292 Å, with angles of 90.00, 90.00 and 120.00 degrees. The asymmetric unit holds Ga at (0.0000, 0.0000, 0.0000), Re at (0.0000, 0.0000, 0.1980), Ru at (0.0000, 0.0000, 0.5808) and Ru at (0.0000, 0.0000, 0.7807).

The crystal system is trigonal. The formation enthalpy at 0 K is 0.257 eV/atom.

=====

A geometry-optimized GaReRu2 structure. Source: Alexandria via LeMat-Bulk, functional PBE.

The space group is I-42d (No. 122) and the conventional cell measures 5.894, 5.894 and 9.646 Å, with angles of 90.00, 90.00 and 90.00 degrees. The asymmetric unit holds Ga at (0.000, 0.000, 0.000), Re at (0.000, 0.000, 0.500) and Ru at (0.238, 0.250, 0.625).

The crystal system is tetragonal. The formation enthalpy at 0 K is 0.962 eV/atom.

=====

A geometry-optimized GaRe2Ru structure. Source: Alexandria via LeMat-Bulk, functional PBE.

The space group is R-3m (No. 166, hexagonal axes) and the conventional cell measures 2.7652, 2.7652 and 28.0104 Å, with angles of 90.00, 90.00 and 120.00 degrees. The asymmetric unit holds Ga at (0.0000, 0.0000, 0.0000), Re at (0.0000, 0.0000, 0.4127) and Ru at (0.0000, 0.0000, 0.5000).

The crystal system is trigonal. The formation enthalpy at 0 K is 0.617 eV/atom.

=====

A geometry-optimized GaReRu2 structure. Source: Alexandria via LeMat-Bulk, functional PBE.

The space group is P4/mmm (No. 123) and the conventional cell measures 2.856, 2.856 and 6.955 Å, with angles of 90.00, 90.00 and 90.00 degrees. The asymmetric unit holds Ga at (0.000, 0.000, 0.000), Re at (0.000, 0.000, 0.500) and Ru at (0.500, 0.500, 0.244).

The crystal system is tetragonal. The formation enthalpy at 0 K is -0.163 eV/atom.

=====

A geometry-optimized GaRe3Ru structure. Source: Alexandria via LeMat-Bulk, functional PBE.

The space group is Pm-3m (No. 221) and the conventional cell measures 4.679, 4.679 and 4.679 Å, with angles of 90.00, 90.00 and 90.00 degrees. The asymmetric unit holds Ga at (0.000, 0.000, 0.000), Re at (0.000, 0.500, 0.500) and Ru at (0.500, 0.500, 0.500).

The crystal system is cubic. The calculation puts the energy above the most stable polymorph in this dataset at 0.120 eV per atom. The formation enthalpy at 0 K is 2.155 eV/atom.

=====

A geometry-optimized GaReRu2 structure. Source: Alexandria via LeMat-Bulk, functional PBE.

The space group is R-3m (No. 166, hexagonal axes) and the conventional cell measures 2.7929, 2.7929 and 25.6609 Å, with angles of 90.00, 90.00 and 120.00 degrees. The asymmetric unit holds Ga at (0.0000, 0.0000, 0.0000), Re at (0.0000, 0.0000, 0.5000) and Ru at (0.0000, 0.0000, 0.2504).

The crystal system is trigonal. The formation enthalpy at 0 K is -0.049 eV/atom.

=====

A geometry-optimized GaRe2Ru structure. Source: Alexandria via LeMat-Bulk, functional PBE.

The space group is I-42d (No. 122) and the conventional cell measures 7.137, 7.137 and 5.151 Å, with angles of 90.00, 90.00 and 90.00 degrees. The asymmetric unit holds Ga at (0.000, 0.000, 0.000), Re at (0.227, 0.250, 0.625) and Ru at (0.000, 0.000, 0.500).

The crystal system is tetragonal. The formation enthalpy at 0 K is 0.805 eV/atom.

=====

A geometry-optimized GaReRuS2 structure. Source: Alexandria via LeMat-Bulk, functional PBE.

The space group is P4/mmm (No. 123) and the conventional cell measures 4.541, 4.541 and 4.926 Å, with angles of 90.00, 90.00 and 90.00 degrees. The asymmetric unit holds Ga at (0.000, 0.000, 0.000), Re at (0.500, 0.500, 0.000), Ru at (0.500, 0.500, 0.500) and S at (0.000, 0.500, 0.500).

For the uncorrected formation energy, the calculation gives 1.07 eV/atom. The crystal system is tetragonal.

=====

A geometry-optimized Sc2GaRe2Ru5 structure. Source: Alexandria via LeMat-Bulk, functional PBE.

The space group is P4/mbm (No. 127) and the conventional cell measures 10.335, 10.335 and 3.092 Å, with angles of 90.00, 90.00 and 90.00 degrees. The asymmetric unit holds Sc at (0.170, 0.330, 0.000), Ga at (0.000, 0.000, 0.000), Re at (0.141, 0.641, 0.000), Ru at (0.000, 0.500, 0.500) and Ru at (0.056, 0.809, 0.500).

The crystal system is tetragonal. The formation enthalpy at 0 K is -0.049 eV/atom.

=====

A geometry-optimized GaReTcRu structure. Source: Alexandria via LeMat-Bulk, functional PBE.

The space group is F-43m (No. 216) and the conventional cell measures 6.143, 6.143 and 6.143 Å, with angles of 90.00, 90.00 and 90.00 degrees. The asymmetric unit holds Ga at (0.000, 0.000, 0.000), Re at (0.000, 0.000, 0.500), Tc at (0.250, 0.250, 0.250) and Ru at (0.250, 0.250, 0.750).

The crystal system is cubic. The formation enthalpy at 0 K is -0.003 eV/atom.

=====

A geometry-optimized GaRe2TeRu structure. Source: Alexandria via LeMat-Bulk, functional PBE.

The space group is P4/mmm (No. 123) and the conventional cell measures 4.757, 4.757 and 5.187 Å, with angles of 90.00, 90.00 and 90.00 degrees. The asymmetric unit holds Ga at (0.000, 0.000, 0.000), Re at (0.000, 0.500, 0.500), Te at (0.500, 0.500, 0.000) and Ru at (0.500, 0.500, 0.500).

For the uncorrected formation energy, the calculation gives 1.79 eV/atom. The crystal system is tetragonal.

=====

A geometry-optimized TlGaRe2Ru structure. Source: Alexandria via LeMat-Bulk, functional PBE.

The space group is P4/mmm (No. 123) and the conventional cell measures 5.006, 5.006 and 4.935 Å, with angles of 90.00, 90.00 and 90.00 degrees. The asymmetric unit holds Tl at (0.000, 0.000, 0.000), Ga at (0.500, 0.500, 0.500), Re at (0.000, 0.500, 0.000) and Ru at (0.000, 0.000, 0.500).

The crystal system is tetragonal. The formation enthalpy at 0 K is 2.926 eV/atom.

=====

A geometry-optimized YGaRe2Ru structure. Source: Alexandria via LeMat-Bulk, functional PBE.

The space group is P4/mmm (No. 123) and the conventional cell measures 4.775, 4.775 and 4.629 Å, with angles of 90.00, 90.00 and 90.00 degrees. The asymmetric unit holds Y at (0.000, 0.000, 0.000), Ga at (0.500, 0.500, 0.000), Re at (0.000, 0.500, 0.500) and Ru at (0.500, 0.500, 0.500).

The crystal system is tetragonal. The formation enthalpy at 0 K is 0.895 eV/atom.

=====

A geometry-optimized Zn2GaReRu structure. Source: Alexandria via LeMat-Bulk, functional PBE.

The space group is P4/mmm (No. 123) and the conventional cell measures 4.927, 4.927 and 4.625 Å, with angles of 90.00, 90.00 and 90.00 degrees. The asymmetric unit holds Zn at (0.000, 0.500, 0.000), Ga at (0.000, 0.000, 0.500), Re at (0.500, 0.500, 0.000) and Ru at (0.500, 0.500, 0.500).

The crystal system is tetragonal. The formation enthalpy at 0 K is 1.116 eV/atom.

=====

Number 1: DFT total energy -8.249 eV per atom, magnetic moment 0.00 μB per formula unit. Number 2: DFT total energy -7.545 eV per atom, magnetic moment 0.00 μB per formula unit. Number 3: DFT total energy -8.683 eV per atom, magnetic moment 0.00 μB per formula unit. Number 4: DFT total energy -8.669 eV per atom, magnetic moment 0.00 μB per formula unit. Number 5: DFT total energy -7.775 eV per atom, magnetic moment 1.85 μB per formula unit. Number 6: DFT total energy -8.555 eV per atom, magnetic moment 0.00 μB per formula unit. Number 7: DFT total energy -8.495 eV per atom, magnetic moment 0.00 μB per formula unit. Number 8: DFT total energy -5.535 eV per atom, magnetic moment 1.81 μB per formula unit. Number 9: DFT total energy -8.746 eV per atom, magnetic moment 0.00 μB per formula unit. Number 10: DFT total energy -8.782 eV per atom, magnetic moment 0.00 μB per formula unit. Number 11: DFT total energy -6.276 eV per atom, magnetic moment 3.06 μB per formula unit. Number 12: DFT total energy -4.987 eV per atom, magnetic moment 5.42 μB per formula unit. Number 13: DFT total energy -7.838 eV per atom, magnetic moment 0.00 μB per formula unit. Number 14: DFT total energy -4.343 eV per atom, magnetic moment 0.92 μB per formula unit.